[1]
A relaxed structure of Ac5TmSn4, computed with PBE-GGA.

Summary:
SG: C2/m, No. 12
Total energy (eV per formula unit): -45.826
V (Å³ per atom): 37.7
Crystal system: monoclinic
Fermi-level density of states (states/eV per cell): 6.37

Structure (POSCAR):
```
Ac5TmSn4
1.0
5.556 0.000 0.000
0.000 7.189 -2.793
-2.778 -3.758 10.901
Sn Ac Tm
4 5 1
direct
0.330 0.906 0.659 Sn
0.006 0.243 0.013 Sn
0.670 0.094 0.341 Sn
0.994 0.757 0.987 Sn
0.164 0.824 0.328 Ac
0.167 0.329 0.334 Ac
0.833 0.671 0.666 Ac
0.836 0.176 0.672 Ac
0.500 0.500 0.000 Ac
0.500 0.000 0.000 Tm
```

---

[2]
A relaxed structure of BaGa5Pd3, computed with PBE-GGA.

Summary:
SG: Cmcm, No. 63
Total energy (eV per formula unit): -37.735
V (Å³ per atom): 20.1
Crystal system: orthorhombic
Fermi-level density of states (states/eV per cell): 8.76

Structure (POSCAR):
```
BaGa5Pd3
1.0
-3.911 0.455 1.654
0.224 -5.953 -3.346
3.926 -5.999 10.937
Ba Ga Pd
2 10 6
direct
0.831 0.662 0.750 Ba
0.169 0.338 0.250 Ba
0.549 0.099 0.847 Ga
0.451 0.901 0.347 Ga
0.000 0.000 0.000 Ga
0.549 0.099 0.653 Ga
0.199 0.399 0.566 Ga
0.801 0.601 0.434 Ga
0.801 0.601 0.066 Ga
0.199 0.399 0.934 Ga
0.451 0.901 0.153 Ga
0.000 0.000 0.500 Ga
0.883 0.765 0.250 Pd
0.390 0.780 0.966 Pd
0.390 0.780 0.534 Pd
0.117 0.235 0.750 Pd
0.610 0.220 0.466 Pd
0.610 0.220 0.034 Pd
```

---

| no. | energy relative to the elements (eV/atom) |
| --- | --- |
| 1 | -0.480 |
| 2 | -0.567 |